Be2CuAs | PBE-GGA | optimized geometry

The space group is Fmmm (No. 69) and the conventional cell measures 4.877, 5.463 and 7.140 Å, with angles of 90.00, 90.00 and 90.00 degrees. The distinct sites, in fractional coordinates, are Be at (0.250, 0.250, 0.250), Cu at (0.000, 0.000, 0.000) and As at (0.000, 0.000, 0.500).

As for the total energy: -0.2775 Ry per atom. The density of states at the Fermi level comes out at 2.91 states/eV per cell. The value obtained for the energy of formation from the pure elements is 0.2735 eV per atom.